# Tc2PbO6F2

Crystalline Tc2PbO6F2 at its relaxed geometry (PBE, the Alexandria database).

Structure (CIF):
```
data_Tc2PbO6F2
_chemical_formula_sum 'Tc2 Pb1 O6 F2'
_cell_length_a 6.6651
_cell_length_b 6.6651
_cell_length_c 5.2317
_cell_angle_alpha 90.00
_cell_angle_beta 90.00
_cell_angle_gamma 120.00
_space_group_name_H-M_alt 'P -3'
_space_group_IT_number 147
loop_
_space_group_symop_operation_xyz
'x,y,z'
'-x,-y,-z'
'-y,x-y,z'
'y,-x+y,-z'
'-x+y,-x,z'
'x-y,x,-z'
loop_
_atom_site_label
_atom_site_type_symbol
_atom_site_fract_x
_atom_site_fract_y
_atom_site_fract_z
Tc1 Tc 0.3333 0.6667 0.1559
Pb1 Pb 0.0000 0.0000 0.5000
O1 O 0.1724 0.7970 0.2502
F1 F 0.3333 0.6667 0.7953
```

Properties
Its formation energy (no corrections) is -135.0 kJ per mole of atoms. For the magnetization, the calculation gives 0.18 μB per atom. The density is 4.4 g/cm³. The volume is 201 Å³/f.u.